Entry 1:
Here is crystalline FeAg2S2 at its relaxed geometry from the Alexandria database. Energies are from GGA-PBE.

a b c (Å): 3.312 3.312 16.793
angles (deg): 90.00 90.00 90.00
Space group I4/mmm (No. 139)
Symmetry-distinct sites (fractional):
Fe: 0.000 0.000 0.000 x2
Ag: 0.000 0.000 0.410 x4
S: 0.000 0.500 0.250 x4

- energy above the most stable polymorph in this dataset (eV per atom) = 0.164
- magnetic moment (μB per atom) = 0.605
- Fermi-level density of states (states/eV per atom) = 0.914
- formation energy without anion corrections (meV per atom) = 634



Entry 2:
Here is crystalline PaAgPb2 at its relaxed geometry from the Alexandria database. Energies are from GGA-PBE.

a b c (Å): 4.804 4.804 4.432
angles (deg): 90.00 90.00 90.00
Space group P4/mmm (No. 123)
Symmetry-distinct sites (fractional):
Pa: 0.000 0.000 0.000 x1
Ag: 0.500 0.500 0.000 x1
Pb: 0.000 0.500 0.500 x2

- energy above the most stable polymorph in this dataset (eV per atom) = 0.000
- ΔH_f (0 K) (eV per atom) = 0.03
- magnetic moment (μB per atom) = 0.003
- Fermi-level density of states (states/eV per atom) = 1.373



Entry 3:
Here is crystalline CdP2Cl at its relaxed geometry from the Alexandria database. Energies are from GGA-PBE.

a b c (Å): 3.2976 3.2976 24.7720
angles (deg): 90.00 90.00 120.00
Space group R-3m (No. 166, hexagonal axes)
Symmetry-distinct sites (fractional):
Cd: 0.0000 0.0000 0.0000 x3
P: 0.0000 0.0000 0.2512 x6
Cl: 0.0000 0.0000 0.5000 x3

- energy above the most stable polymorph in this dataset (eV per atom) = 0.897
- magnetic moment (μB per atom) = 0.000
- Fermi-level density of states (states/eV per atom) = 0.694
- formation energy without anion corrections (meV per atom) = 677



Entry 4:
Here is crystalline Ac4SiBi2Br at its relaxed geometry from the Alexandria database. Energies are from GGA-PBE.

a b c (Å): 8.160 4.747 8.184
angles (deg): 90.00 109.30 90.00
Space group P2/m (No. 10)
Symmetry-distinct sites (fractional):
Ac: 0.233 0.000 0.232 x2
Ac: 0.243 0.500 0.765 x2
Si: 0.000 0.500 0.000 x1
Bi: 0.500 0.000 0.000 x1
Bi: 0.500 0.500 0.500 x1
Br: 0.000 0.000 0.500 x1

- magnetic moment (μB per atom) = 0.000
- Fermi-level density of states (states/eV per atom) = 0.290
- formation energy without anion corrections (meV per atom) = -983



Entry 5:
Here is crystalline Re3Cl at its relaxed geometry from the Alexandria database. Energies are from GGA-PBE.

a b c (Å): 2.865 2.865 7.332
angles (deg): 90.00 90.00 90.00
Space group P4/mmm (No. 123)
Symmetry-distinct sites (fractional):
Re: 0.000 0.000 0.000 x1
Re: 0.500 0.500 0.246 x2
Cl: 0.000 0.000 0.500 x1

- energy above the most stable polymorph in this dataset (eV per atom) = 0.203
- magnetic moment (μB per atom) = 0.000
- Fermi-level density of states (states/eV per atom) = 0.776
- formation energy without anion corrections (meV per atom) = 621



Entry 6:
Here is crystalline OsWCl2 at its relaxed geometry from the Alexandria database. Energies are from GGA-PBE.

a b c (Å): 3.096 3.096 6.186
angles (deg): 90.00 90.00 90.00
Space group P4/mmm (No. 123)
Symmetry-distinct sites (fractional):
Os: 0.000 0.000 0.000 x1
W: 0.000 0.000 0.500 x1
Cl: 0.500 0.500 0.263 x2

- energy above the most stable polymorph in this dataset (eV per atom) = 1.691
- magnetic moment (μB per atom) = 0.000
- Fermi-level density of states (states/eV per atom) = 1.135
- formation energy without anion corrections (meV per atom) = 1569



Entry 7:
Here is crystalline Ag2Sn2Hg at its relaxed geometry from the Alexandria database. Energies are from GGA-PBE.

a b c (Å): 8.812 8.812 3.091
angles (deg): 90.00 90.00 90.00
Space group P4/mbm (No. 127)
Symmetry-distinct sites (fractional):
Ag: 0.159 0.341 0.000 x4
Sn: 0.138 0.638 0.500 x4
Hg: 0.000 0.000 0.500 x2

- energy above the most stable polymorph in this dataset (eV per atom) = 0.033
- ΔH_f (0 K) (eV per atom) = 0.10
- magnetic moment (μB per atom) = 0.000
- Fermi-level density of states (states/eV per atom) = 0.389



Entry 8:
Here is crystalline HfScO2F at its relaxed geometry from the Alexandria database. Energies are from GGA-PBE.

a b c (Å): 4.126 4.126 4.173
angles (deg): 90.00 90.00 90.00
Space group P4/mmm (No. 123)
Symmetry-distinct sites (fractional):
Hf: 0.000 0.000 0.000 x1
Sc: 0.500 0.500 0.500 x1
O: 0.000 0.500 0.000 x2
F: 0.000 0.000 0.500 x1

- magnetic moment (μB per atom) = 0.324
- Fermi-level density of states (states/eV per atom) = 0.658
- formation energy without anion corrections (meV per atom) = -2446



Entry 9:
Here is crystalline CaHg2HBr at its relaxed geometry from the Alexandria database. Energies are from GGA-PBE.

a b c (Å): 6.415 6.415 3.464
angles (deg): 90.00 90.00 90.00
Space group P4/mmm (No. 123)
Symmetry-distinct sites (fractional):
Ca: 0.000 0.000 0.000 x1
Hg: 0.000 0.500 0.500 x2
H: 0.500 0.500 0.000 x1
Br: 0.500 0.500 0.500 x1

- magnetic moment (μB per atom) = 0.000
- Fermi-level density of states (states/eV per atom) = 0.296
- final energy (eV/atom) = -1.522



Entry 10:
Here is crystalline Ce4SeBr5 at its relaxed geometry from the Alexandria database. Energies are from GGA-PBE.

a b c (Å): 18.102 4.071 8.680
angles (deg): 90.00 100.90 90.00
Space group C2/m (No. 12)
Symmetry-distinct sites (fractional):
Ce: 0.000 0.000 0.231 x4
Ce: 0.163 0.500 0.068 x4
Se: 0.000 0.500 0.000 x2
Br: 0.000 0.500 0.500 x2
Br: 0.168 0.000 0.327 x4
Br: 0.168 0.000 0.807 x4

- magnetic moment (μB per atom) = 0.499
- Fermi-level density of states (states/eV per atom) = 2.466
- formation energy without anion corrections (meV per atom) = -1580



Entry 11:
Here is crystalline CsP2Pd5 at its relaxed geometry from the Alexandria database. Energies are from GGA-PBE.

a b c (Å): 4.013 7.060 10.820
angles (deg): 90.00 90.00 90.00
Space group Immm (No. 71)
Symmetry-distinct sites (fractional):
Cs: 0.000 0.000 0.000 x2
P: 0.000 0.500 0.219 x4
Pd: 0.000 0.192 0.327 x8
Pd: 0.000 0.500 0.000 x2

- ΔH_f (0 K) (eV per atom) = -0.39
- magnetic moment (μB per atom) = 0.000
- Fermi-level density of states (states/eV per atom) = 0.514



Entry 12:
Here is crystalline Nd3Al2GePd9 at its relaxed geometry from the Alexandria database. Energies are from GGA-PBE.

a b c (Å): 5.7771 5.7771 10.9969
angles (deg): 90.00 90.00 120.00
Space group P-3m1 (No. 164)
Symmetry-distinct sites (fractional):
Nd: 0.0000 0.0000 0.0000 x1
Nd: 0.3333 0.6667 0.7368 x2
Al: 0.3333 0.6667 0.1699 x2
Ge: 0.0000 0.0000 0.5000 x1
Pd: 0.0000 0.5000 0.0000 x3
Pd: 0.1691 0.3382 0.3395 x6

- ΔH_f (0 K) (eV per atom) = -0.63
- magnetic moment (μB per atom) = 0.000
- Fermi-level density of states (states/eV per atom) = 0.424



Among the records above, which one has the highest magnetic moment? FeAg2S2



What did the third record say?
Here is crystalline CdP2Cl at its relaxed geometry from the Alexandria database. Energies are from GGA-PBE.

a b c (Å): 3.2976 3.2976 24.7720
angles (deg): 90.00 90.00 120.00
Space group R-3m (No. 166, hexagonal axes)
Symmetry-distinct sites (fractional):
Cd: 0.0000 0.0000 0.0000 x3
P: 0.0000 0.0000 0.2512 x6
Cl: 0.0000 0.0000 0.5000 x3

- energy above the most stable polymorph in this dataset (eV per atom) = 0.897
- magnetic moment (μB per atom) = 0.000
- Fermi-level density of states (states/eV per atom) = 0.694
- formation energy without anion corrections (meV per atom) = 677



Number 7 is which compound? Ag2Sn2Hg